Record 1
Material: ReICl
Method: DFT, PBE
State: optimized geometry

**Formation energy without anion corrections**: 0.0 eV/f.u.
**VASP energy**: -5.290 eV/atom
**Total magnetization**: 0.00 μB/f.u.

POSCAR file:
```
ReICl
1.0
3.5461 0.0000 0.0000
0.3317 7.6088 0.0000
1.6892 0.9973 7.8361
Re I Cl
2 2 2
direct
0.2013 0.4977 0.1015 Re
0.7987 0.5023 0.8985 Re
0.3735 0.7316 0.6947 I
0.6265 0.2684 0.3053 I
0.1385 0.7743 0.1774 Cl
0.8615 0.2257 0.8226 Cl
```

Record 2
Material: Ca6Ni2Pt
Method: DFT, PBE
State: optimized geometry

**VASP energy**: -3.561 eV/atom
**Formation energy from the elements**: -0.270 eV per atom
**Total magnetization**: 0.00 μB/f.u.

POSCAR file:
```
Ca6Ni2Pt
1.0
-4.7322 4.8901 5.1329
4.7322 -4.8901 5.1329
4.7322 4.8901 -5.1329
Ca Ni Pt
12 4 2
direct
0.0419 0.2341 0.8078 Ca
0.1778 0.2792 0.4570 Ca
0.1778 0.7208 0.8986 Ca
0.3292 0.0281 0.6989 Ca
0.3292 0.6303 0.3011 Ca
0.4263 0.2341 0.1922 Ca
0.5737 0.7659 0.8078 Ca
0.6708 0.3697 0.6989 Ca
0.6708 0.9719 0.3011 Ca
0.8222 0.2792 0.1014 Ca
0.8222 0.7208 0.5430 Ca
0.9581 0.7659 0.1922 Ca
0.1135 0.6135 0.5000 Ni
0.3733 0.0000 0.3733 Ni
0.6267 0.0000 0.6267 Ni
0.8865 0.3865 0.5000 Ni
0.0000 0.0000 0.0000 Pt
0.5000 0.5000 0.0000 Pt
```